Cs2GaGe GGA-PBE optimized geometry; VASP energy = -1.7527 eV per atom; V = 41.6 A^3/atom; SG = I-42d, No. 122; DFT formation energy = 585 meV per atom
1.0
-2.5729 2.5729 12.5657
2.5729 -2.5729 12.5657
2.5729 2.5729 -12.5657
Cs Ga Ge
4 2 2
direct
0.1220 0.6250 0.9970
0.3750 0.3720 0.4970
0.6280 0.1250 0.0030
0.8750 0.8780 0.5030
0.0000 0.0000 0.0000
0.7500 0.2500 0.5000
0.2500 0.7500 0.5000
0.5000 0.5000 0.0000

CsGaGe3 GGA-PBE optimized geometry; VASP energy = -3.5979 eV per atom; V = 32.0 A^3/atom; SG = P2_1/c, No. 14; DFT formation energy = -51 meV per atom
1.0
9.6160 0.0000 0.0000
0.0000 7.0871 0.0000
-7.1999 0.0000 9.3942
Cs Ga Ge
4 4 12
direct
0.0945 0.2499 0.0558
0.0945 0.2501 0.5558
0.9055 0.7499 0.4442
0.9055 0.7501 0.9442
0.4553 0.6594 0.3215
0.4553 0.8406 0.8215
0.5447 0.1594 0.1785
0.5447 0.3406 0.6785
0.2527 0.6942 0.8728
0.2527 0.8058 0.3728
0.3860 0.1498 0.4486
0.3860 0.3502 0.9486
0.4541 0.6845 0.6309
0.4541 0.8155 0.1309
0.5459 0.1845 0.8691
0.5459 0.3155 0.3691
0.6140 0.6498 0.0514
0.6140 0.8502 0.5514
0.7473 0.1942 0.6272
0.7473 0.3058 0.1272